This record from Alexandria describes a geometry-optimized Hf5TiIn3 structure. The functional is PBE.

a = 7.344 Å, b = 7.344 Å, c = 9.045 Å
α = 113.95°, β = 113.95°, γ = 90.00°
Last column: magnetic moment on the atom in μB.
Positions (direct):
Hf (0.061, 0.561, 0.717)  0.01
Hf (0.656, 0.156, 0.717)  0.01
Hf (0.156, 0.061, 0.717)  0.01
Hf (0.561, 0.656, 0.717)  0.01
Hf (0.939, 0.439, 0.283)  0.01
Hf (0.344, 0.844, 0.283)  0.01
Hf (0.844, 0.939, 0.283)  0.01
Hf (0.439, 0.344, 0.283)  0.01
Hf (0.500, 0.500, 0.000)  -0.03
Hf (0.000, 0.000, 0.000)  -0.03
Ti (0.750, 0.250, 0.500)  0.41
Ti (0.250, 0.750, 0.500)  0.41
In (0.624, 0.124, 0.000)  0.00
In (0.376, 0.876, 0.000)  0.00
In (0.876, 0.624, 0.000)  0.00
In (0.124, 0.376, 0.000)  0.00
In (0.250, 0.250, 0.500)  0.00
In (0.750, 0.750, 0.500)  0.00

## Properties
As for the symmetry: I4/mcm, No. 140. The density of states at the Fermi level comes out at 0.880 states/eV/atom. Its calculated formation energy is 0.28 eV per atom. The crystal system is tetragonal. The calculation puts the uncorrected energy at -7.04 eV per atom.